a) Compound: La3Be
Source: Alexandria via LeMat-Bulk
Functional: GGA-PBEsol
Structure: optimized geometry

The size of the total moment is 0.00 μB per cell.

It has space group Cmmm (No. 65), with a = 7.7472 Å, b = 7.8115 Å, c = 3.6230 Å, α = 90.00°, β = 90.00° and γ = 90.00°. Symmetry generates all atoms from La at (0.0000, 0.0000, 0.0000), La at (0.2500, 0.2500, 0.5000) and Be at (0.0000, 0.5000, 0.0000).

---

b) Compound: La3Be
Source: Alexandria via LeMat-Bulk
Functional: GGA-PBEsol
Structure: optimized geometry

The size of the total moment is 0.00 μB per cell.

It has space group R-3m (No. 166, hexagonal axes), with a = 10.2087 Å, b = 10.2087 Å, c = 3.6601 Å, α = 90.00°, β = 90.00° and γ = 120.00°. Symmetry generates all atoms from La at (0.0000, 0.5000, 0.0000) and Be at (0.0000, 0.0000, 0.0000).

---

Q: Which of them is the least stable? A: b).

---

a) Compound: LaMn2Be
Source: Alexandria via LeMat-Bulk
Functional: GGA-PBEsol
Structure: optimized geometry

The size of the total moment is 14.44 μB per cell.

It has space group R-3m (No. 166, hexagonal axes), with a = 3.9090 Å, b = 3.9090 Å, c = 15.1097 Å, α = 90.00°, β = 90.00° and γ = 120.00°. Symmetry generates all atoms from La at (0.0000, 0.0000, 0.0000), Mn at (0.0000, 0.0000, 0.2020) and Be at (0.0000, 0.0000, 0.5000).

---

b) Compound: LaMn2Be
Source: Alexandria via LeMat-Bulk
Functional: GGA-PBEsol
Structure: optimized geometry

The size of the total moment is 0.00 μB per cell.

It has space group R3m (No. 160, hexagonal axes), with a = 3.8145 Å, b = 3.8145 Å, c = 15.6904 Å, α = 90.00°, β = 90.00° and γ = 120.00°. Symmetry generates all atoms from La at (0.0000, 0.0000, 0.0000), Mn at (0.0000, 0.0000, 0.1931), Mn at (0.0000, 0.0000, 0.5098) and Be at (0.0000, 0.0000, 0.8111).

---

Q: Which of them is the least stable? A: a).